No. 1
First-principles (PBE) data for LiTb2Pd8 after structural relaxation, as listed in Alexandria via LeMat-Bulk.

Unit cell a=14.6754 b=4.4166 c=6.0192 alpha=90.00 beta=104.20 gamma=90.00
Space group C2/m (No. 12)
One atom of each set of equivalent atoms:
Li (0.0000, 0.0000, 0.0000) x2
Tb (0.2078, 0.5000, 0.6810) x4
Pd (0.0225, 0.5000, 0.7354) x4
Pd (0.0950, 0.0000, 0.4221) x4
Pd (0.1470, 0.0000, 0.8965) x4
Pd (0.1556, 0.5000, 0.1773) x4

Computed properties:
formation enthalpy at 0 K = -0.57 eV per atom
total magnetic moment = 0.00 μB/cell



No. 2
First-principles (PBE) data for Li3TbPd4 after structural relaxation, as listed in Alexandria via LeMat-Bulk.

Unit cell a=4.2667 b=4.2667 c=6.8805 alpha=90.00 beta=90.00 gamma=90.00
Space group P4/mmm (No. 123)
One atom of each set of equivalent atoms:
Li (0.0000, 0.0000, 0.0000) x1
Li (0.0000, 0.0000, 0.5000) x1
Li (0.5000, 0.5000, 0.0000) x1
Tb (0.5000, 0.5000, 0.5000) x1
Pd (0.0000, 0.5000, 0.2254) x4

Computed properties:
formation enthalpy at 0 K = -0.59 eV per atom
total magnetic moment = 0.00 μB/cell



No. 3
First-principles (PBE) data for LiTb5Pd6 after structural relaxation, as listed in Alexandria via LeMat-Bulk.

Unit cell a=8.5313 b=14.6743 c=4.9319 alpha=90.00 beta=125.20 gamma=90.00
Space group C2/m (No. 12)
One atom of each set of equivalent atoms:
Li (0.0000, 0.0000, 0.0000) x2
Tb (0.0000, 0.1518, 0.5000) x4
Tb (0.0000, 0.3280, 0.0000) x4
Tb (0.0000, 0.5000, 0.5000) x2
Pd (0.2287, 0.5000, 0.2277) x4
Pd (0.2413, 0.3298, 0.7408) x8

Computed properties:
formation enthalpy at 0 K = -0.81 eV per atom
total magnetic moment = 0.00 μB/cell



No. 4
First-principles (PBE) data for LiTb3Pd12 after structural relaxation, as listed in Alexandria via LeMat-Bulk.

Unit cell a=4.1096 b=4.1096 c=16.0657 alpha=90.00 beta=90.00 gamma=90.00
Space group P4/mmm (No. 123)
One atom of each set of equivalent atoms:
Li (0.0000, 0.0000, 0.0000) x1
Tb (0.0000, 0.0000, 0.2417) x2
Tb (0.0000, 0.0000, 0.5000) x1
Pd (0.0000, 0.5000, 0.1132) x4
Pd (0.0000, 0.5000, 0.3708) x4
Pd (0.5000, 0.5000, 0.0000) x1
Pd (0.5000, 0.5000, 0.2410) x2
Pd (0.5000, 0.5000, 0.5000) x1

Computed properties:
formation enthalpy at 0 K = -0.70 eV per atom
total magnetic moment = 0.00 μB/cell



No. 5
First-principles (PBE) data for Li2Tb3Pd3 after structural relaxation, as listed in Alexandria via LeMat-Bulk.

Unit cell a=8.3969 b=8.3969 c=5.5497 alpha=90.00 beta=90.00 gamma=120.00
Space group P6_3/mcm (No. 193)
One atom of each set of equivalent atoms:
Li (0.3333, 0.6667, 0.0000) x4
Tb (0.0000, 0.2623, 0.2500) x6
Pd (0.0000, 0.3946, 0.7500) x6

Computed properties:
formation enthalpy at 0 K = -0.63 eV per atom
total magnetic moment = 0.00 μB/cell



No. 6
First-principles (PBE) data for Li2TbPd2 after structural relaxation, as listed in Alexandria via LeMat-Bulk.

Unit cell a=4.7574 b=4.7574 c=5.2239 alpha=90.00 beta=90.00 gamma=120.00
Space group P-3m1 (No. 164)
One atom of each set of equivalent atoms:
Li (0.3333, 0.6667, 0.1304) x2
Tb (0.0000, 0.0000, 0.5000) x1
Pd (0.3333, 0.6667, 0.6354) x2

Computed properties:
polymorph energy (0 for the lowest one) = 0.1156 eV per atom
formation enthalpy at 0 K = -0.45 eV per atom
total magnetic moment = 0.00 μB/cell



No. 7
First-principles (PBE) data for Li2TbPd4 after structural relaxation, as listed in Alexandria via LeMat-Bulk.

Unit cell a=5.6332 b=6.4128 c=6.9223 alpha=101.69 beta=104.00 gamma=99.55
Space group P1 (No. 1)
One atom of each set of equivalent atoms:
Li (0.0000, 0.0000, 0.0000) x1
Li (0.0662, 0.7768, 0.2907) x1
Li (0.1623, 0.4722, 0.5484) x1
Li (0.4922, 0.0167, 0.0264) x1
Tb (0.5266, 0.5376, 0.2587) x1
Tb (0.7345, 0.2748, 0.7111) x1
Pd (0.1708, 0.6416, 0.9300) x1
Pd (0.2448, 0.2178, 0.7825) x1
Pd (0.3201, 0.1466, 0.3550) x1
Pd (0.4270, 0.8497, 0.6345) x1
Pd (0.6630, 0.6538, 0.9255) x1
Pd (0.8170, 0.0704, 0.3572) x1
Pd (0.9025, 0.7955, 0.6237) x1
Pd (0.9577, 0.3746, 0.1504) x1

Computed properties:
polymorph energy (0 for the lowest one) = 0.0000 eV per atom
formation enthalpy at 0 K = -0.55 eV per atom
total magnetic moment = 0.00 μB/cell



No. 8
First-principles (PBE) data for Li3Tb2Pd4 after structural relaxation, as listed in Alexandria via LeMat-Bulk.

Unit cell a=5.5764 b=14.8597 c=7.5923 alpha=90.00 beta=90.00 gamma=90.00
Space group Cmce (No. 64)
One atom of each set of equivalent atoms:
Li (0.0000, 0.0000, 0.0000) x4
Li (0.2500, 0.2173, 0.2500) x8
Tb (0.0000, 0.1129, 0.5874) x8
Pd (0.0000, 0.1758, 0.9692) x8
Pd (0.2500, 0.0487, 0.2500) x8

Computed properties:
formation enthalpy at 0 K = -0.63 eV per atom
total magnetic moment = 0.00 μB/cell



No. 9
First-principles (PBE) data for LiTb2Pd4 after structural relaxation, as listed in Alexandria via LeMat-Bulk.

Unit cell a=4.3076 b=4.3076 c=14.6926 alpha=90.00 beta=90.00 gamma=90.00
Space group I4/mmm (No. 139)
One atom of each set of equivalent atoms:
Li (0.0000, 0.0000, 0.0000) x2
Tb (0.0000, 0.0000, 0.3494) x4
Pd (0.0000, 0.0000, 0.1566) x4
Pd (0.0000, 0.5000, 0.0000) x4

Computed properties:
polymorph energy (0 for the lowest one) = 0.0573 eV per atom
formation enthalpy at 0 K = -0.52 eV per atom
total magnetic moment = 0.00 μB/cell



No. 10
First-principles (PBE) data for LiTbPd6 after structural relaxation, as listed in Alexandria via LeMat-Bulk.

Unit cell a=4.0814 b=4.0814 c=7.8297 alpha=90.00 beta=90.00 gamma=90.00
Space group P4/mmm (No. 123)
One atom of each set of equivalent atoms:
Li (0.0000, 0.0000, 0.0000) x1
Tb (0.0000, 0.0000, 0.5000) x1
Pd (0.0000, 0.5000, 0.2352) x4
Pd (0.5000, 0.5000, 0.0000) x1
Pd (0.5000, 0.5000, 0.5000) x1

Computed properties:
polymorph energy (0 for the lowest one) = 0.0000 eV per atom
formation enthalpy at 0 K = -0.54 eV per atom
total magnetic moment = 0.00 μB/cell



No. 11
First-principles (PBE) data for LiTb2Pd4 after structural relaxation, as listed in Alexandria via LeMat-Bulk.

Unit cell a=7.8591 b=8.6066 c=8.6227 alpha=90.00 beta=90.00 gamma=90.00
Space group Fmmm (No. 69)
One atom of each set of equivalent atoms:
Li (0.0000, 0.0000, 0.0000) x4
Tb (0.2500, 0.2500, 0.2500) x8
Pd (0.0000, 0.0000, 0.2782) x8
Pd (0.0000, 0.2214, 0.5000) x8

Computed properties:
polymorph energy (0 for the lowest one) = 0.0000 eV per atom
formation enthalpy at 0 K = -0.57 eV per atom
total magnetic moment = 0.00 μB/cell



no.,final energy (eV/atom)
1,-5.367
2,-4.484
3,-5.495
4,-5.584
5,-4.797
6,-4.214
7,-4.723
8,-4.607
9,-5.079
10,-5.255
11,-5.136